This record from the Alexandria database describes a relaxed structure of ZrMnAlTc2. The functional is PBE.

Calculated values
- Raw total energy: -7.7152 eV per atom
- Space-group type: P4/mmm
- Energy of formation from the pure elements: 0.723 eV per atom

a b c (Å): 4.535 4.319 4.535
angles (deg): 90.00 90.00 90.00
Fractional positions:
Tc: 0.500 0.000 0.000
Tc: 0.000 0.000 0.500
Mn: 0.000 0.500 0.000
Al: 0.000 0.000 0.000
Zr: 0.500 0.500 0.500


This record from the Alexandria database describes a relaxed structure of MnAl2Te4. The functional is PBE.

Calculated values
- Energy relative to the elements, uncorrected: -0.3505 eV/atom
- Raw total energy: -4.5250 eV per atom
- Space-group type: P-42m

a b c (Å): 5.982 5.982 6.298
angles (deg): 90.00 90.00 90.00
Fractional positions:
Mn: 0.000 0.000 0.000
Al: 0.000 0.500 0.500
Al: 0.500 0.000 0.500
Te: 0.267 0.733 0.757
Te: 0.733 0.733 0.243
Te: 0.733 0.267 0.757
Te: 0.267 0.267 0.243


This record from the Alexandria database describes a relaxed structure of MnAl2Te. The functional is PBE.

Calculated values
- Energy relative to the elements, uncorrected: 0.2787 eV/atom
- Raw total energy: -4.6704 eV per atom
- Space-group type: Pmmm

a b c (Å): 3.979 3.967 4.952
angles (deg): 90.00 90.00 90.00
Fractional positions:
Al: 0.500 0.500 0.000
Al: 0.000 0.000 0.000
Mn: 0.500 0.000 0.500
Te: 0.000 0.500 0.500


This record from the Alexandria database describes a relaxed structure of MnAlTe3. The functional is PBE.

Calculated values
- Energy above the most stable polymorph in this dataset: 0.00 eV/f.u.
- Energy relative to the elements, uncorrected: -0.2265 eV/atom
- Raw total energy: -4.6939 eV per atom
- Space-group type: C2/m

a b c (Å): 4.032 7.593 11.085
angles (deg): 94.95 90.00 105.40
Fractional positions:
Al: 0.932 0.863 0.713
Al: 0.068 0.137 0.287
Te: 0.846 0.692 0.923
Te: 0.638 0.275 0.408
Te: 0.114 0.227 0.747
Te: 0.154 0.308 0.077
Te: 0.886 0.773 0.253
Te: 0.362 0.725 0.592
Mn: 0.649 0.298 0.909
Mn: 0.351 0.702 0.091